## Sr2BeTcO6 (GGA-PBE)

Data for crystalline Sr2BeTcO6 at its relaxed geometry. Values from VASP.

The energy is -6.91 eV per atom. As for the crystal system: cubic.

```
&SYSTEM
  ibrav = 0, nat = 10, ntyp = 4
/
ATOMIC_SPECIES
Be 9.01 Be.upf
O 16.00 O.upf
Sr 87.62 Sr.upf
Tc 98.00 Tc.upf
CELL_PARAMETERS angstrom
0.736 -5.288 -0.589
-0.222 -3.236 4.281
-4.137 -3.371 0.606
ATOMIC_POSITIONS crystal
Be 0.500 0.500 0.500
O 0.254 0.746 0.254
O 0.746 0.746 0.254
O 0.746 0.254 0.254
O 0.746 0.254 0.746
O 0.254 0.254 0.746
O 0.254 0.746 0.746
Sr 0.250 0.250 0.250
Sr 0.750 0.750 0.750
Tc 0.000 0.000 0.000
```